Compound: ScFe2
Source: the Alexandria database
Functional: GGA-PBE
Structure: optimized geometry

Summary:
Mass density ... 5.3 g/cm3
Space-group type ... P4/mmm, No. 123
N(E_F) ... 2.60 states/eV per cell
Raw total energy ... -22.5 eV per formula unit
DFT formation energy ... 72 kJ/mol of formula units
M_tot ... 3.26 μB/cell

Cell: 3.3120 3.3120 4.4423 Å, 90.00 90.00 90.00°
Element x y z (fractional)
Fe 0.0000 0.5000 0.5000
Fe 0.5000 0.0000 0.5000
Sc 0.0000 0.0000 0.0000

***

Compound: Zr2BeSb
Source: the Alexandria database
Functional: GGA-PBE
Structure: optimized geometry

Summary:
Mass density ... 6.2 g/cm3
Space-group type ... R-3m, No. 166
Energy relative to the elements, uncorrected ... -0.210 eV/atom
N(E_F) ... 2.50 states/eV per cell
Raw total energy ... -25.8 eV per formula unit
M_tot ... 0.00 μB/cell

Cell: 7.1009 7.1009 7.1009 Å, 30.90 30.90 30.90°
Element x y z (fractional)
Zr 0.9897 0.9897 0.9897
Sb 0.7500 0.7500 0.7500
Zr 0.5103 0.5103 0.5103
Be 0.2500 0.2500 0.2500

***

Compound: LiCaTc
Source: the Alexandria database
Functional: GGA-PBE
Structure: optimized geometry

Summary:
Mass density ... 3.2 g/cm3
Space-group type ... Cm, No. 8
N(E_F) ... 4.40 states/eV per cell
Raw total energy ... -13.7 eV per formula unit
DFT formation energy ... 52 kJ/mol of formula units
M_tot ... 0.11 μB/cell

Cell: 4.1966 4.1995 10.1541 Å, 101.81 90.03 119.96°
Element x y z (fractional)
Li 0.9939 0.7718 0.4830
Li 0.8492 0.4827 0.0515
Tc 0.3573 0.4986 0.5737
Tc 0.7051 0.1941 0.6175
Ca 0.6021 0.9894 0.3079
Ca 0.1012 0.9859 0.8076

***

Compound: CeHo12Sc6
Source: the Alexandria database
Functional: GGA-PBE
Structure: optimized geometry

Summary:
Mass density ... 7.1 g/cm3
Space-group type ... Im-3, No. 204
N(E_F) ... 32.39 states/eV per cell
Raw total energy ... -94.3 eV per formula unit
DFT formation energy ... 437 kJ/mol of formula units
M_tot ... 1.01 μB/cell

Cell: 8.9996 8.9996 8.9996 Å, 109.47 109.47 109.47°
Element x y z (fractional)
Sc 0.5000 0.8611 0.3611
Sc 0.6389 0.5000 0.1389
Sc 0.5000 0.1389 0.6389
Ho 0.5391 0.8044 0.7347
Ce 0.0000 0.0000 0.0000
Ho 0.9303 0.1956 0.7347
Ho 0.7347 0.5391 0.8044
Ho 0.1956 0.7347 0.9303
Ho 0.1956 0.2653 0.4609
Ho 0.2653 0.0697 0.8044
Ho 0.0697 0.8044 0.2653
Ho 0.8044 0.7347 0.5391
Sc 0.1389 0.6389 0.5000
Ho 0.4609 0.1956 0.2653
Ho 0.2653 0.4609 0.1956
Ho 0.8044 0.2653 0.0697
Sc 0.3611 0.5000 0.8611
Sc 0.8611 0.3611 0.5000
Ho 0.7347 0.9303 0.1956

***

Compound: SrTb2Co
Source: the Alexandria database
Functional: GGA-PBE
Structure: optimized geometry

Summary:
Mass density ... 6.5 g/cm3
Space-group type ... P4/mmm, No. 123
N(E_F) ... 3.52 states/eV per cell
Raw total energy ... -18.0 eV per formula unit
DFT formation energy ... 9 kJ/mol of formula units
M_tot ... 0.46 μB/cell

Cell: 3.4665 3.4665 9.8217 Å, 90.00 90.00 90.00°
Element x y z (fractional)
Tb 0.0000 0.0000 0.1611
Sr 0.5000 0.5000 0.5000
Co 0.5000 0.5000 0.0000
Tb 0.0000 0.0000 0.8389

***

Compound: CaPb7
Source: the Alexandria database
Functional: GGA-PBE
Structure: optimized geometry

Summary:
Mass density ... 9.9 g/cm3
Space-group type ... Fm-3m, No. 225
N(E_F) ... 7.41 states/eV per cell
Raw total energy ... -29.0 eV per formula unit
DFT formation energy ... -99 kJ/mol of formula units
M_tot ... 0.00 μB/cell

Cell: 7.0593 7.0593 7.0593 Å, 60.00 60.00 60.00°
Element x y z (fractional)
Ca 0.0000 0.0000 0.0000
Pb 0.5000 0.0000 0.5000
Pb 0.0000 0.0000 0.5000
Pb 0.0000 0.5000 0.5000
Pb 0.5000 0.0000 0.0000
Pb 0.5000 0.5000 0.0000
Pb 0.5000 0.5000 0.5000
Pb 0.0000 0.5000 0.0000

***

Compound: Th12Zr5Bi3
Source: the Alexandria database
Functional: GGA-PBE
Structure: optimized geometry

Summary:
Mass density ... 9.1 g/cm3
Space-group type ... Ia-3d, No. 230
N(E_F) ... 133.12 states/eV per cell
Raw total energy ... -128.2 eV per formula unit
DFT formation energy ... 1468 kJ/mol of formula units
M_tot ... 0.00 μB/cell

Cell: 15.3937 15.3937 15.3937 Å, 109.47 109.47 109.47°
Element x y z (fractional)
Th 0.5848 0.7108 0.6783
Th 0.7892 0.3217 0.9152
Zr 0.8750 0.2500 0.6250
Zr 0.2500 0.3750 0.6250
Zr 0.6250 0.7500 0.8750
Th 0.8740 0.2892 0.4675
Bi 0.2500 0.1250 0.3750
Th 0.5325 0.2108 0.1260
Th 0.4064 0.3740 0.5848
Zr 0.3750 0.2500 0.1250
Th 0.3740 0.9675 0.7892
Th 0.8740 0.5848 0.9064
Th 0.2892 0.4152 0.8217
Th 0.4064 0.0325 0.3217
Zr 0.1250 0.3750 0.2500
Bi 0.1250 0.2500 0.8750
Zr 0.0000 0.0000 0.0000
Th 0.6783 0.2108 0.5848
Bi 0.8750 0.1250 0.2500
Th 0.0325 0.4064 0.8217
Th 0.0848 0.9064 0.3740
Th 0.6783 0.4675 0.5936
Th 0.5325 0.3217 0.9064
Th 0.5936 0.6260 0.4152
Th 0.0936 0.1783 0.4675
Th 0.7108 0.1260 0.0325
Th 0.3217 0.7892 0.4152
Th 0.1783 0.0848 0.7108
Th 0.0325 0.6260 0.7108
Th 0.9064 0.0848 0.8740
Th 0.2108 0.5325 0.6260
Zr 0.2500 0.8750 0.1250
Th 0.5848 0.8740 0.4064
Th 0.3217 0.5325 0.4064
Bi 0.7500 0.3750 0.1250
Th 0.4675 0.7892 0.8740
Bi 0.6250 0.2500 0.3750
Th 0.4152 0.1260 0.5936
Zr 0.1250 0.7500 0.3750
Th 0.6260 0.5936 0.9152
Th 0.1260 0.4152 0.0936
Zr 0.3750 0.1250 0.7500
Th 0.3740 0.4064 0.0848
Bi 0.8750 0.7500 0.1250
Zr 0.6250 0.8750 0.2500
Th 0.2108 0.6783 0.0848
Th 0.4152 0.2892 0.3217
Th 0.9064 0.8217 0.5325
Th 0.1783 0.0936 0.9675
Zr 0.5000 0.5000 0.5000
Th 0.8217 0.9064 0.0325
Th 0.8217 0.9152 0.2892
Th 0.1260 0.7108 0.5325
Zr 0.5000 0.0000 0.5000
Th 0.5936 0.9675 0.6783
Th 0.9152 0.8217 0.7892
Zr 0.7500 0.6250 0.3750
Bi 0.6250 0.3750 0.7500
Th 0.7108 0.5848 0.1783
Th 0.2892 0.8740 0.9675
Bi 0.2500 0.6250 0.8750
Zr 0.5000 0.0000 0.0000
Th 0.9675 0.5936 0.1783
Th 0.0936 0.9152 0.1260
Th 0.9152 0.0936 0.6260
Bi 0.3750 0.7500 0.6250
Zr 0.5000 0.5000 0.0000
Zr 0.7500 0.1250 0.8750
Th 0.4675 0.6783 0.0936
Zr 0.0000 0.5000 0.5000
Zr 0.8750 0.6250 0.7500
Th 0.9675 0.3740 0.2892
Zr 0.0000 0.0000 0.5000
Bi 0.1250 0.8750 0.7500
Th 0.6260 0.0325 0.2108
Bi 0.7500 0.8750 0.6250
Bi 0.3750 0.6250 0.2500
Th 0.7892 0.4675 0.3740
Zr 0.0000 0.5000 0.0000
Th 0.0848 0.1783 0.2108

***

Compound: Zr2PaCo
Source: the Alexandria database
Functional: GGA-PBE
Structure: optimized geometry

Summary:
Mass density ... 9.6 g/cm3
Space-group type ... P4/mmm, No. 123
N(E_F) ... 6.99 states/eV per cell
Raw total energy ... -34.0 eV per formula unit
DFT formation energy ... -27 kJ/mol of formula units
M_tot ... 0.71 μB/cell

Cell: 3.2007 3.2007 7.9476 Å, 90.00 90.00 90.00°
Element x y z (fractional)
Zr 0.0000 0.0000 0.7990
Pa 0.5000 0.5000 0.5000
Co 0.5000 0.5000 0.0000
Zr 0.0000 0.0000 0.2010

***

Compound: YCoSi3Tc
Source: the Alexandria database
Functional: GGA-PBE
Structure: optimized geometry

Summary:
Mass density ... 5.1 g/cm3
Space-group type ... Cmcm, No. 63
Energy relative to the elements, uncorrected ... -0.374 eV/atom
N(E_F) ... 5.94 states/eV per cell
Raw total energy ... -42.4 eV per formula unit
M_tot ... 0.00 μB/cell

Cell: 5.4284 7.3741 6.5172 Å, 124.45 90.00 90.00°
Element x y z (fractional)
Y 0.2500 0.7577 0.5154
Si 0.5000 0.2415 0.0000
Si 0.0000 0.7585 0.0000
Si 0.7500 0.7669 0.5338
Tc 0.7500 0.5585 0.1170
Si 0.0000 0.2415 0.0000
Co 0.7500 0.9611 0.9223
Co 0.2500 0.0389 0.0777
Tc 0.2500 0.4415 0.8830
Si 0.5000 0.7585 0.0000
Si 0.2500 0.2331 0.4662
Y 0.7500 0.2423 0.4846

***

Compound: LaTmIn2
Source: the Alexandria database
Functional: GGA-PBE
Structure: optimized geometry

Summary:
Mass density ... 7.4 g/cm3
Space-group type ... R-3m, No. 166
N(E_F) ... 3.23 states/eV per cell
Raw total energy ... -16.1 eV per formula unit
DFT formation energy ... -114 kJ/mol of formula units
M_tot ... 0.00 μB/cell

Cell: 3.7155 3.7155 10.2684 Å, 79.58 79.58 60.00°
Element x y z (fractional)
La 0.5000 0.5000 0.5000
In 0.7456 0.7456 0.7633
Tm 0.0000 0.0000 0.0000
In 0.2544 0.2544 0.2367

***

Compound: NaOs2Cl2
Source: the Alexandria database
Functional: GGA-PBE
Structure: optimized geometry

Summary:
Mass density ... 7.3 g/cm3
Space-group type ... P4/mbm, No. 127
Energy relative to the elements, uncorrected ... 0.738 eV/atom
N(E_F) ... 6.68 states/eV per cell
Raw total energy ... -23.8 eV per formula unit
M_tot ... 0.00 μB/cell

Cell: 8.5861 8.5861 2.9319 Å, 90.00 90.00 90.00°
Element x y z (fractional)
Os 0.5929 0.0929 0.0000
Na 0.0000 0.0000 0.0000
Na 0.5000 0.5000 0.0000
Os 0.9071 0.5929 0.0000
Cl 0.7465 0.7535 0.5000
Cl 0.7535 0.2535 0.5000
Os 0.0929 0.4071 0.0000
Cl 0.2535 0.2465 0.5000
Os 0.4071 0.9071 0.0000
Cl 0.2465 0.7465 0.5000

***

Compound: PtINO2
Source: the Alexandria database
Functional: GGA-PBE
Structure: optimized geometry

Summary:
Mass density ... 9.1 g/cm3
Space-group type ... P4/mmm, No. 123
Energy relative to the elements, uncorrected ... 0.789 eV/atom
N(E_F) ... 3.36 states/eV per cell
Raw total energy ... -21.9 eV per formula unit
M_tot ... 0.00 μB/cell

Cell: 4.1259 4.1259 3.9394 Å, 90.00 90.00 90.00°
Element x y z (fractional)
O 0.0000 0.5000 0.0000
Pt 0.0000 0.0000 0.0000
N 0.0000 0.0000 0.5000
I 0.5000 0.5000 0.5000
O 0.5000 0.0000 0.0000